(1)
A plane-wave DFT calculation with GGA-PBE was carried out for a relaxed AcYTi crystal.

Unit cell a=3.613 b=4.935 c=10.540 alpha=90.00 beta=99.84 gamma=90.00
Space group P2_1/m (No. 11)
Asymmetric unit:
Ac 0.194 0.250 0.389
Y 0.410 0.250 0.819
Ti 0.031 0.250 0.064

Magnetic moment ... 0.00 μB/cell
Crystal system ... monoclinic
Energy of formation ... 0.211 eV per atom



(2)
A plane-wave DFT calculation with GGA-PBE was carried out for a relaxed V5Ge6 crystal.

Unit cell a=7.194 b=11.066 c=4.661 alpha=90.00 beta=117.06 gamma=90.00
Space group C2/m (No. 12)
Asymmetric unit:
V 0.000 0.000 0.000
V 0.000 0.141 0.500
V 0.000 0.296 0.000
Ge 0.200 0.500 0.148
Ge 0.206 0.348 0.672

Magnetic moment ... 0.03 μB/cell
Crystal system ... monoclinic
Energy of formation ... -0.044 eV per atom



(3)
A plane-wave DFT calculation with GGA-PBE was carried out for a relaxed CaNdSeS crystal.

Unit cell a=4.0946 b=4.0946 c=20.6275 alpha=90.00 beta=90.00 gamma=120.00
Space group R3m (No. 160, hexagonal axes)
Asymmetric unit:
Ca 0.0000 0.0000 0.0000
Nd 0.0000 0.0000 0.5082
Se 0.0000 0.0000 0.7522
S 0.0000 0.0000 0.2566

Magnetic moment ... 0.00 μB/cell
Crystal system ... trigonal
ΔE_f (raw) ... -1.977 eV per atom



(4)
A plane-wave DFT calculation with GGA-PBE was carried out for a relaxed Pr3Te2C crystal.

Unit cell a=8.798 b=12.227 c=25.142 alpha=90.00 beta=90.00 gamma=90.00
Space group Fddd (No. 70, origin choice 2)
Asymmetric unit:
Pr 0.072 0.375 0.375
Pr 0.099 0.356 0.218
Te 0.125 0.125 0.381
Te 0.125 0.125 0.548
C 0.125 0.125 0.040

Magnetic moment ... 0.00 μB/cell
Crystal system ... orthorhombic
ΔE to the lowest computed polymorph ... 0.000 eV per formula unit
ΔE_f (raw) ... -0.972 eV per atom



(5)
A plane-wave DFT calculation with GGA-PBE was carried out for a relaxed Ga2Ag3F9 crystal.

Unit cell a=9.7589 b=9.7589 c=13.9412 alpha=90.00 beta=90.00 gamma=120.00
Space group R-3c (No. 167, hexagonal axes)
Asymmetric unit:
Ga 0.0000 0.0000 0.1475
Ag 0.0000 0.3372 0.2500
F 0.0000 0.1478 0.7500
F 0.0193 0.1792 0.4110

Magnetic moment ... 1.66 μB/cell
Crystal system ... trigonal
ΔE_f (raw) ... -1.863 eV per atom



(6)
A plane-wave DFT calculation with GGA-PBE was carried out for a relaxed Cs2PuSnF6 crystal.

Unit cell a=6.241 b=6.360 c=7.420 alpha=113.77 beta=110.18 gamma=90.39
Space group P-1 (No. 2)
Asymmetric unit:
Cs 0.225 0.242 0.483
Pu 0.000 0.500 0.000
Sn 0.500 0.000 0.000
F 0.181 0.184 0.868
F 0.197 0.673 0.863
F 0.265 0.654 0.335

Magnetic moment ... 6.06 μB/cell
Crystal system ... triclinic
ΔE_f (raw) ... -2.773 eV per atom



(7)
A plane-wave DFT calculation with GGA-PBE was carried out for a relaxed MgZn2Fe2 crystal.

Unit cell a=7.078 b=7.078 c=2.898 alpha=90.00 beta=90.00 gamma=90.00
Space group P4/mbm (No. 127)
Asymmetric unit:
Mg 0.000 0.000 0.000
Zn 0.128 0.372 0.000
Fe 0.169 0.669 0.500

Magnetic moment ... 9.54 μB/cell
Crystal system ... tetragonal
ΔE to the lowest computed polymorph ... 0.251 eV per formula unit
Energy of formation ... 0.166 eV per atom



(8)
A plane-wave DFT calculation with GGA-PBE was carried out for a relaxed YHg3S crystal.

Unit cell a=5.846 b=5.846 c=5.846 alpha=90.00 beta=90.00 gamma=90.00
Space group Pm-3m (No. 221)
Asymmetric unit:
Y 0.000 0.000 0.000
Hg 0.000 0.000 0.500
S 0.500 0.500 0.500

Magnetic moment ... 0.16 μB/cell
Crystal system ... cubic
ΔE to the lowest computed polymorph ... 1.175 eV per formula unit
ΔE_f (raw) ... 0.564 eV per atom